# LaSc2W, optimized geometry, DFT PBE
# M_tot, μB/f.u.: 0.000
# Formation enthalpy at 0 K, meV/atom: 364
# Density, g/cm3: 7.45
data_LaSc2W
_chemical_formula_sum 'La1 Sc2 W1'
_space_group_name_H-M_alt 'P 1 2/m 1'
_space_group_IT_number 10
_space_group_name_Hall '-P 2y'
_cell_length_a 3.160
_cell_length_b 4.849
_cell_length_c 6.192
_cell_angle_alpha 90.00
_cell_angle_beta 104.24
_cell_angle_gamma 90.00
loop_
_atom_site_label
_atom_site_fract_x
_atom_site_fract_y
_atom_site_fract_z
La1 0.000 0.000 0.000
Sc1 0.388 0.500 0.716
W1 0.000 0.000 0.500

# Hf3TaP, optimized geometry, DFT PBE
# M_tot, μB/f.u.: 0.000
# Formation enthalpy at 0 K, meV/atom: -17
# Density, g/cm3: 11.37
data_Hf3TaP
_chemical_formula_sum 'Hf3 Ta1 P1'
_space_group_name_H-M_alt 'P m -3 m'
_space_group_IT_number 221
_space_group_name_Hall '-P 4 2 3'
_cell_length_a 4.780
_cell_length_b 4.780
_cell_length_c 4.780
_cell_angle_alpha 90.00
_cell_angle_beta 90.00
_cell_angle_gamma 90.00
loop_
_atom_site_label
_atom_site_fract_x
_atom_site_fract_y
_atom_site_fract_z
Hf1 0.000 0.000 0.500
Ta1 0.500 0.500 0.500
P1 0.000 0.000 0.000

# Pr2B5, optimized geometry, DFT PBE
# M_tot, μB/f.u.: 0.000
# Formation enthalpy at 0 K, meV/atom: -490
# Density, g/cm3: 5.72
data_Pr2B5
_chemical_formula_sum 'Pr16 B40'
_space_group_name_H-M_alt 'C 1 2/c 1'
_space_group_IT_number 15
_space_group_name_Hall '-C 2yc'
_cell_length_a 15.302
_cell_length_b 7.332
_cell_length_c 7.371
_cell_angle_alpha 90.00
_cell_angle_beta 109.46
_cell_angle_gamma 90.00
loop_
_atom_site_label
_atom_site_fract_x
_atom_site_fract_y
_atom_site_fract_z
Pr1 0.119 0.062 0.221
Pr2 0.119 0.429 0.598
B1 0.043 0.246 0.850
B2 0.160 0.250 0.939
B3 0.249 0.289 0.170
B4 0.249 0.342 0.408
B5 0.250 0.079 0.040

# Sr2BeBr, optimized geometry, DFT PBE
# M_tot, μB/f.u.: 0.530
# Density, g/cm3: 3.31
data_Sr2BeBr
_chemical_formula_sum 'Sr2 Be1 Br1'
_space_group_name_H-M_alt 'P 1 2/m 1'
_space_group_IT_number 10
_space_group_name_Hall '-P 2y'
_cell_length_a 3.952
_cell_length_b 3.844
_cell_length_c 8.715
_cell_angle_alpha 90.00
_cell_angle_beta 90.84
_cell_angle_gamma 90.00
loop_
_atom_site_label
_atom_site_fract_x
_atom_site_fract_y
_atom_site_fract_z
Sr1 0.006 0.000 0.210
Be1 0.500 0.500 0.000
Br1 0.000 0.500 0.500

# RbHoCdTe3, optimized geometry, DFT PBE
# M_tot, μB/f.u.: 0.000
# Density, g/cm3: 5.40
data_RbHoCdTe3
_chemical_formula_sum 'Rb2 Ho2 Cd2 Te6'
_space_group_name_H-M_alt 'P 1 21/m 1'
_space_group_IT_number 11
_space_group_name_Hall '-P 2yb'
_cell_length_a 9.810
_cell_length_b 4.522
_cell_length_c 10.966
_cell_angle_alpha 90.00
_cell_angle_beta 109.37
_cell_angle_gamma 90.00
loop_
_atom_site_label
_atom_site_fract_x
_atom_site_fract_y
_atom_site_fract_z
Rb1 0.215 0.250 0.244
Ho1 0.329 0.750 0.865
Cd1 0.082 0.250 0.609
Te1 0.112 0.250 0.872
Te2 0.231 0.750 0.547
Te3 0.466 0.750 0.156

# LiTlPd6, optimized geometry, DFT PBE
# M_tot, μB/f.u.: 0.000
# Formation enthalpy at 0 K, meV/atom: -200
# Density, g/cm3: 11.06
data_LiTlPd6
_chemical_formula_sum 'Li8 Tl8 Pd48'
_space_group_name_H-M_alt 'C m m m'
_space_group_IT_number 65
_space_group_name_Hall '-C 2 2'
_cell_length_a 7.865
_cell_length_b 11.414
_cell_length_c 11.367
_cell_angle_alpha 90.00
_cell_angle_beta 90.00
_cell_angle_gamma 90.00
loop_
_atom_site_label
_atom_site_fract_x
_atom_site_fract_y
_atom_site_fract_z
Li1 0.000 0.000 0.245
Li2 0.000 0.254 0.000
Tl1 0.000 0.252 0.500
Tl2 0.000 0.500 0.247
Pd1 0.000 0.000 0.000
Pd2 0.000 0.000 0.500
Pd3 0.000 0.250 0.240
Pd4 0.000 0.500 0.000
Pd5 0.000 0.500 0.500
Pd6 0.243 0.124 0.370
Pd7 0.244 0.126 0.120

# TlAsAu2, optimized geometry, DFT PBE
# M_tot, μB/f.u.: 0.000
# Formation enthalpy at 0 K, meV/atom: 268
# Density, g/cm3: 13.24
data_TlAsAu2
_chemical_formula_sum 'Tl1 As1 Au2'
_space_group_name_H-M_alt 'P m m m'
_space_group_IT_number 47
_space_group_name_Hall '-P 2 2'
_cell_length_a 3.038
_cell_length_b 5.246
_cell_length_c 5.298
_cell_angle_alpha 90.00
_cell_angle_beta 90.00
_cell_angle_gamma 90.00
loop_
_atom_site_label
_atom_site_fract_x
_atom_site_fract_y
_atom_site_fract_z
Tl1 0.000 0.000 0.000
As1 0.500 0.000 0.500
Au1 0.000 0.500 0.500
Au2 0.500 0.500 0.000

# NbAlCr3, optimized geometry, DFT PBE
# M_tot, μB/f.u.: 8.089
# Formation enthalpy at 0 K, meV/atom: 1519
# Density, g/cm3: 4.48
data_NbAlCr3
_chemical_formula_sum 'Nb1 Al1 Cr3'
_space_group_name_H-M_alt 'P m -3 m'
_space_group_IT_number 221
_space_group_name_Hall '-P 4 2 3'
_cell_length_a 4.675
_cell_length_b 4.675
_cell_length_c 4.675
_cell_angle_alpha 90.00
_cell_angle_beta 90.00
_cell_angle_gamma 90.00
loop_
_atom_site_label
_atom_site_fract_x
_atom_site_fract_y
_atom_site_fract_z
Nb1 0.000 0.000 0.000
Al1 0.500 0.500 0.500
Cr1 0.000 0.000 0.500

Uncorrected energy in eV per cell, matching the order above: -29.09 -47.21 -370.99 -10.53 -44.41 -296.27 -12.50 -35.09